SrZn2Cr | SCAN | single point on PBEsol structure

Lattice parameters (Å, degrees): 3.377 5.119 5.663 116.87 107.35 90.00
Element x y z (fractional)
Sr1 0.259 0.759 0.518
Zn1 0.740 0.240 0.481
Zn2 0.039 0.039 0.078
Cr1 0.462 0.462 0.923

Results
As for the symmetry: Imm2 (44). The value obtained for the magnetic moment is 4.14 μB/f.u. The density of states at the Fermi level comes out at 1.65 states/eV/cell. The value obtained for the calculated total energy is -16.72 eV/atom. Its energy of formation from the pure elements is 0.200 eV/atom.